No. 1
Here is a relaxed structure of Pm5AlSi2 from Alexandria via LeMat-Bulk. Energies are from PBE.

extended XYZ file:
```
8
Lattice="-2.068 3.636 7.653 2.068 -3.636 7.653 2.068 3.636 -7.653" Properties=species:S:1:pos:R:3 pbc="T T T"
Pm 0.000 0.000 0.000
Pm 2.068 2.004 -2.184
Pm 2.068 2.004 2.184
Pm 0.000 1.632 5.469
Pm 0.000 1.632 9.836
Al 0.000 3.636 0.000
Si 0.000 0.000 2.946
Si 0.000 0.000 12.359
```

E_tot (eV for the cell shown): -41.35
Formation energy (no corrections) (eV per atom): -0.38
Symmetry: No. 71
Relative energy among the computed polymorphs (meV per atom): 130
ρ (Mg/m³): 5.8
DOS(E_F) (states/eV/atom): 0.851
Crystal system: orthorhombic

=====

No. 2
Here is a relaxed structure of ZrCoSe2Br from Alexandria via LeMat-Bulk. Energies are from PBE.

extended XYZ file:
```
5
Lattice="5.238 0.000 0.000 0.000 5.238 0.000 0.000 0.000 5.257" Properties=species:S:1:pos:R:3 pbc="T T T"
Zr 0.000 0.000 0.000
Co 2.619 2.619 2.628
Se 0.000 2.619 0.000
Se 2.619 0.000 0.000
Br 0.000 0.000 2.628
```

E_tot (eV for the cell shown): -23.92
Formation energy (no corrections) (eV per atom): 0.08
Symmetry: No. 123
Relative energy among the computed polymorphs (meV per atom): 43
ρ (Mg/m³): 4.5
DOS(E_F) (states/eV/atom): 1.262
Crystal system: tetragonal

=====

No. 3
Here is a relaxed structure of CePu2SiC from Alexandria via LeMat-Bulk. Energies are from PBE.

extended XYZ file:
```
10
Lattice="1.773 -5.804 0.000 1.773 5.804 0.000 0.000 0.000 9.256" Properties=species:S:1:pos:R:3 pbc="T T T"
Ce 1.773 5.480 6.942
Ce 1.773 -5.480 2.314
Pu 1.773 2.171 4.920
Pu 1.773 2.171 8.965
Pu 1.773 -2.171 0.292
Pu 1.773 -2.171 4.337
Si 1.773 2.855 2.314
Si 1.773 -2.855 6.942
C 1.773 0.000 0.000
C 1.773 0.000 4.628
```

E_tot (eV for the cell shown): -98.62
Formation energy (no corrections) (eV per atom): -0.01
Symmetry: No. 63
ρ (Mg/m³): 11.6
DOS(E_F) (states/eV/atom): 2.318
Crystal system: orthorhombic

=====

No. 4
Here is a relaxed structure of La2BiO2 from Alexandria via LeMat-Bulk. Energies are from PBE.

extended XYZ file:
```
5
Lattice="-2.044 2.044 7.141 2.044 -2.044 7.141 2.044 2.044 -7.141" Properties=species:S:1:pos:R:3 pbc="T T T"
La 0.000 0.000 2.358
La 0.000 0.000 11.924
Bi 0.000 0.000 7.141
O 2.044 0.000 3.570
O 0.000 2.044 3.570
```

E_tot (eV for the cell shown): -37.16
Formation energy (no corrections) (eV per atom): -2.70
Symmetry: No. 139
Relative energy among the computed polymorphs (meV per atom): 0
ρ (Mg/m³): 7.2
DOS(E_F) (states/eV/atom): 0.168
Crystal system: tetragonal

=====

No. 5
Here is a relaxed structure of NdSm3Mg from Alexandria via LeMat-Bulk. Energies are from PBE.

extended XYZ file:
```
5
Lattice="-1.759 2.857 8.106 1.759 -2.857 8.106 1.759 2.857 -8.106" Properties=species:S:1:pos:R:3 pbc="T T T"
Nd 0.000 0.000 0.000
Sm 1.759 0.000 3.425
Sm 0.000 0.000 9.724
Sm 0.000 2.857 4.709
Mg 0.000 0.000 6.478
```

E_tot (eV for the cell shown): -20.32
Symmetry: No. 44
ρ (Mg/m³): 6.3
E_form (meV per atom): 41
DOS(E_F) (states/eV/atom): 1.332
Crystal system: orthorhombic

=====

No. 6
Here is a relaxed structure of NiIr2Ru from Alexandria via LeMat-Bulk. Energies are from PBE.

extended XYZ file:
```
4
Lattice="2.708 0.000 0.000 -1.354 2.345 0.000 0.000 0.000 8.581" Properties=species:S:1:pos:R:3 pbc="T T T"
Ni 0.000 0.000 0.000
Ir 0.000 1.564 6.491
Ir 1.354 0.782 2.090
Ru 0.000 0.000 4.291
```

E_tot (eV for the cell shown): -32.76
Symmetry: No. 164
Relative energy among the computed polymorphs (meV per atom): 15
ρ (Mg/m³): 16.6
E_form (meV per atom): 4
DOS(E_F) (states/eV/atom): 1.197
Crystal system: trigonal

=====

No. 7
Here is a relaxed structure of Ba2SrSb from Alexandria via LeMat-Bulk. Energies are from PBE.

extended XYZ file:
```
4
Lattice="4.498 0.000 0.000 0.000 4.498 0.000 0.000 0.000 9.533" Properties=species:S:1:pos:R:3 pbc="T T T"
Ba 0.000 0.000 1.749
Ba 0.000 0.000 7.784
Sr 2.249 2.249 4.766
Sb 2.249 2.249 0.000
```

E_tot (eV for the cell shown): -11.72
Formation energy (no corrections) (eV per atom): -0.52
Symmetry: No. 123
ρ (Mg/m³): 4.2
DOS(E_F) (states/eV/atom): 0.924
Crystal system: tetragonal

=====

No. 8
Here is a relaxed structure of ScTl2P from Alexandria via LeMat-Bulk. Energies are from PBE.

extended XYZ file:
```
4
Lattice="4.552 -1.954 0.000 4.552 1.954 0.000 -1.799 0.000 5.538" Properties=species:S:1:pos:R:3 pbc="T T T"
Sc 0.000 0.000 0.000
Tl 0.605 0.000 3.481
Tl 3.111 0.000 1.974
P 4.621 0.000 5.444
```

E_tot (eV for the cell shown): -17.45
Symmetry: No. 8
Relative energy among the computed polymorphs (meV per atom): 207
ρ (Mg/m³): 8.2
E_form (meV per atom): -243
DOS(E_F) (states/eV/atom): 0.371
Crystal system: monoclinic

=====

No. 9
Here is a relaxed structure of SiSeO from Alexandria via LeMat-Bulk. Energies are from PBE.

extended XYZ file:
```
3
Lattice="3.138 0.000 0.000 -1.569 2.718 0.000 0.000 0.000 6.058" Properties=species:S:1:pos:R:3 pbc="T T T"
Si 0.000 0.000 0.000
Se 0.000 1.812 4.552
O 1.569 0.906 0.857
```

E_tot (eV for the cell shown): -16.24
Formation energy (no corrections) (eV per atom): -0.79
Symmetry: No. 156
Relative energy among the computed polymorphs (meV per atom): 510
ρ (Mg/m³): 4.0
DOS(E_F) (states/eV/atom): 0.120
Crystal system: trigonal

=====

No. 10
Here is a relaxed structure of Pu2ZnRh from Alexandria via LeMat-Bulk. Energies are from PBE.

extended XYZ file:
```
4
Lattice="3.723 0.000 0.000 0.000 3.723 0.000 0.000 0.000 6.013" Properties=species:S:1:pos:R:3 pbc="T T T"
Pu 0.000 0.000 1.439
Pu 0.000 0.000 4.574
Zn 1.861 1.861 3.006
Rh 1.861 1.861 0.000
```

E_tot (eV for the cell shown): -38.23
Symmetry: No. 123
ρ (Mg/m³): 13.1
E_form (meV per atom): -236
DOS(E_F) (states/eV/atom): 3.777
Crystal system: tetragonal

=====

No. 11
Here is a relaxed structure of YN from Alexandria via LeMat-Bulk. Energies are from PBE.

extended XYZ file:
```
12
Lattice="3.828 0.000 0.000 0.000 11.844 0.000 0.000 0.000 5.354" Properties=species:S:1:pos:R:3 pbc="T T T"
Y 0.957 1.157 0.698
Y 0.957 4.765 0.698
Y 0.957 8.883 1.939
Y 2.871 2.961 3.415
Y 2.871 7.079 4.657
Y 2.871 10.687 4.657
N 0.957 2.961 2.169
N 0.957 7.074 0.538
N 0.957 10.692 0.538
N 2.871 1.152 4.816
N 2.871 4.770 4.816
N 2.871 8.883 3.185
```

E_tot (eV for the cell shown): -104.75
Formation energy (no corrections) (eV per atom): -1.33
Symmetry: No. 59
ρ (Mg/m³): 4.2
Crystal system: orthorhombic

=====

No. 12
Here is a relaxed structure of TiNb3Sb from Alexandria via LeMat-Bulk. Energies are from PBE.

extended XYZ file:
```
10
Lattice="5.696 0.000 0.000 0.000 4.756 0.000 -1.134 0.000 6.958" Properties=species:S:1:pos:R:3 pbc="T T T"
Ti 0.832 1.189 0.194
Ti 3.730 3.567 6.765
Nb -0.197 3.567 2.318
Nb 0.612 3.567 5.210
Nb 2.369 3.567 1.056
Nb 2.193 1.189 5.902
Nb 3.950 1.189 1.748
Nb 4.759 1.189 4.640
Sb 1.290 1.189 2.950
Sb 3.272 3.567 4.008
```

E_tot (eV for the cell shown): -85.17
Formation energy (no corrections) (eV per atom): -0.07
Symmetry: No. 11
Relative energy among the computed polymorphs (meV per atom): 95
ρ (Mg/m³): 7.9
DOS(E_F) (states/eV/atom): 1.228
Crystal system: monoclinic